--- one ---
Ac2MnAs | PBE | optimized geometry

It has space group Fm-3m (No. 225), with a = 7.7663 Å, b = 7.7663 Å, c = 7.7663 Å, α = 90.00°, β = 90.00° and γ = 90.00°. Symmetry generates all atoms from Ac at (0.2500, 0.2500, 0.2500), Mn at (0.0000, 0.0000, 0.0000) and As at (0.0000, 0.0000, 0.5000).

The value obtained for the magnetization is 10.33 Bohr magnetons per cell.

--- two ---
Ac2MnAs | PBE | optimized geometry

It has space group P4/mmm (No. 123), with a = 5.4148 Å, b = 5.4148 Å, c = 3.9506 Å, α = 90.00°, β = 90.00° and γ = 90.00°. Symmetry generates all atoms from Ac at (0.0000, 0.5000, 0.0000), Mn at (0.0000, 0.0000, 0.5000) and As at (0.5000, 0.5000, 0.5000).

The value obtained for the magnetization is 3.35 Bohr magnetons per cell.

two wins, 127 meV/atom ahead of the next structure.

--- one ---
AcMoAs2 | PBE | optimized geometry

It has space group R-3m (No. 166, hexagonal axes), with a = 4.1701 Å, b = 4.1701 Å, c = 19.0498 Å, α = 90.00°, β = 90.00° and γ = 120.00°. Symmetry generates all atoms from Ac at (0.0000, 0.0000, 0.0000), Mo at (0.0000, 0.0000, 0.5000) and As at (0.0000, 0.0000, 0.2292).

The value obtained for the magnetization is 6.23 Bohr magnetons per cell.

--- two ---
AcMoAs2 | PBE | optimized geometry

It has space group P4/mmm (No. 123), with a = 3.3820 Å, b = 3.3820 Å, c = 7.3361 Å, α = 90.00°, β = 90.00° and γ = 90.00°. Symmetry generates all atoms from Ac at (0.0000, 0.0000, 0.0000), Mo at (0.0000, 0.0000, 0.5000) and As at (0.5000, 0.5000, 0.3060).

The value obtained for the magnetization is 0.00 Bohr magnetons per cell.

one wins, 209 meV/atom ahead of the next structure.

--- one ---
NaAcAs | PBE | optimized geometry

It has space group P-1 (No. 2), with a = 4.7678 Å, b = 6.3739 Å, c = 7.4494 Å, α = 66.36°, β = 89.92° and γ = 89.97°. Symmetry generates all atoms from Na at (0.2496, 0.1595, 0.4020), Ac at (0.2504, 0.3143, 0.8554) and As at (0.2500, 0.8194, 0.8499).

The value obtained for the magnetization is 0.00 Bohr magnetons per cell.

--- two ---
NaAcAs | PBE | optimized geometry

It has space group I4mm (No. 107), with a = 4.3620 Å, b = 4.3620 Å, c = 14.5582 Å, α = 90.00°, β = 90.00° and γ = 90.00°. Symmetry generates all atoms from Na at (0.0000, 0.0000, 0.0000), Ac at (0.0000, 0.0000, 0.2808) and As at (0.0000, 0.0000, 0.8029).

The value obtained for the magnetization is 0.00 Bohr magnetons per cell.

one wins, 197 meV/atom ahead of the next structure.